Nb2SBr | the Alexandria database | GGA-PBE | relaxed; energy above the lowest structure with this stoichiometry = 0.000 kcal/mol of atoms; formation energy (no corrections) = 49.4 meV/atom; DOS at the Fermi energy = 4.18 states/eV/cell; volume = 16.4 Å³/atom; electronic total energy = -25.74 eV/cell
1.0
1.7647 -3.1530 2.7199
-1.9574 -4.0646 0.3182
2.0313 -3.6328 -1.7692
Nb Br S
2 1 1
Direct
0.2500 0.2500 0.2500
0.7500 0.7500 0.7500
0.5000 0.5000 0.5000
0.0000 0.0000 0.0000